Record 1
Here is a relaxed structure of Ta2Ti2Ag from Alexandria via LeMat-Bulk. Energies are from PBE.

It has space group P4/mbm (No. 127), with a = 7.036 Å, b = 7.036 Å, c = 3.622 Å, α = 90.00°, β = 90.00° and γ = 90.00°. The asymmetric unit holds Ta at (0.165, 0.335, 0.000), Ti at (0.131, 0.631, 0.500) and Ag at (0.000, 0.000, 0.500).

The crystal system is tetragonal. The value obtained for the calculated formation energy is 347 meV/atom. As for the final energy: -8.123 eV/atom. Its density of states at the Fermi level is 1.167 states/eV per atom.

Record 2
Here is a relaxed structure of TiGaBi2 from Alexandria via LeMat-Bulk. Energies are from PBE.

It has space group Fm-3m (No. 225), with a = 7.341 Å, b = 7.341 Å, c = 7.341 Å, α = 90.00°, β = 90.00° and γ = 90.00°. The asymmetric unit holds Ti at (0.000, 0.000, 0.000), Ga at (0.000, 0.000, 0.500) and Bi at (0.250, 0.250, 0.250).

The crystal system is cubic. The value obtained for the calculated formation energy is 222 meV/atom. As for the final energy: -4.449 eV/atom. Its density of states at the Fermi level is 1.754 states/eV per atom.

Record 3
Here is a relaxed structure of NbSiCl3 from Alexandria via LeMat-Bulk. Energies are from PBE.

It has space group Pm-3m (No. 221), with a = 5.041 Å, b = 5.041 Å, c = 5.041 Å, α = 90.00°, β = 90.00° and γ = 90.00°. The asymmetric unit holds Nb at (0.000, 0.000, 0.000), Si at (0.500, 0.500, 0.500) and Cl at (0.000, 0.000, 0.500).

The crystal system is cubic. As for the final energy: -4.163 eV/atom. The value obtained for the formation energy (no corrections) is 0.0432 eV per atom. Its density of states at the Fermi level is 0.939 states/eV per atom.